## Dy4Np6O19 (PBE-GGA)

Data for Dy4Np6O19 after structural relaxation.

Density of states at the Fermi level: 1.178 states/eV/atom
Space-group type: I23
Formation energy (no corrections): -3.041 eV/atom
Spin magnetization: 16.00 μB per formula unit

Geometry as POSCAR:
```
Dy4Np6O19
1.0
-4.824 4.824 4.824
4.824 -4.824 4.824
4.824 4.824 -4.824
Dy Np O
4 6 19
direct
0.000 0.000 0.287
0.000 0.287 0.000
0.287 0.000 0.000
0.713 0.713 0.713
0.178 0.500 0.678
0.322 0.822 0.500
0.500 0.322 0.822
0.500 0.678 0.178
0.678 0.178 0.500
0.822 0.500 0.322
0.000 0.000 0.000
0.000 0.357 0.357
0.000 0.643 0.643
0.019 0.771 0.353
0.229 0.248 0.582
0.248 0.582 0.229
0.334 0.752 0.981
0.353 0.019 0.771
0.357 0.000 0.357
0.357 0.357 0.000
0.418 0.666 0.647
0.582 0.229 0.248
0.643 0.000 0.643
0.643 0.643 0.000
0.647 0.418 0.666
0.666 0.647 0.418
0.752 0.981 0.334
0.771 0.353 0.019
0.981 0.334 0.752
```

---

## Ti2HgPd (PBE-GGA)

Data for Ti2HgPd after structural relaxation.

Density of states at the Fermi level: 1.397 states/eV/atom
Energy of formation: -0.22 eV/atom
Space-group type: P4/mmm
Spin magnetization: 0.97 μB per formula unit

Geometry as POSCAR:
```
Ti2HgPd
1.0
4.108 0.000 0.000
0.000 4.108 0.000
0.000 0.000 4.062
Ti Hg Pd
2 1 1
direct
0.000 0.500 0.000
0.500 0.000 0.000
0.000 0.000 0.500
0.500 0.500 0.500
```

---

## CrNi2MoH (PBE-GGA)

Data for CrNi2MoH after structural relaxation.

E above lowest polymorph: 0 meV per atom
Density of states at the Fermi level: 0.613 states/eV/atom
Space-group type: P4/mmm
Spin magnetization: 0.83 μB per formula unit

Geometry as POSCAR:
```
CrNi2MoH
1.0
3.586 0.000 0.000
0.000 3.586 0.000
0.000 0.000 3.970
Cr Ni Mo H
1 2 1 1
direct
0.000 0.000 0.000
0.000 0.500 0.500
0.500 0.000 0.500
0.500 0.500 0.000
0.000 0.000 0.500
```

---

## ReBi2PbO8 (PBE-GGA)

Data for ReBi2PbO8 after structural relaxation.

Density of states at the Fermi level: 0.347 states/eV/atom
Space-group type: P2/m
Formation energy (no corrections): -1.252 eV/atom
Spin magnetization: 0.00 μB per formula unit

Geometry as POSCAR:
```
ReBi2PbO8
1.0
5.191 0.000 0.000
0.000 6.891 0.000
-0.046 0.000 5.208
Re Bi Pb O
1 2 1 8
direct
0.000 0.000 0.000
0.500 0.246 0.500
0.500 0.754 0.500
0.000 0.500 0.000
0.181 0.207 0.177
0.181 0.793 0.177
0.253 0.000 0.744
0.312 0.500 0.685
0.688 0.500 0.315
0.747 0.000 0.256
0.819 0.207 0.823
0.819 0.793 0.823
```

---

## CaY3Ag4 (PBE-GGA)

Data for CaY3Ag4 after structural relaxation.

Density of states at the Fermi level: 0.609 states/eV/atom
Energy of formation: -0.32 eV/atom
Space-group type: P4/mmm
Spin magnetization: 0.00 μB per formula unit

Geometry as POSCAR:
```
CaY3Ag4
1.0
5.168 0.000 0.000
0.000 5.168 0.000
0.000 0.000 7.307
Ca Y Ag
1 3 4
direct
0.000 0.000 0.000
0.000 0.000 0.500
0.500 0.500 0.000
0.500 0.500 0.500
0.000 0.500 0.257
0.000 0.500 0.743
0.500 0.000 0.257
0.500 0.000 0.743
```

---

## RbP12Au4 (PBE-GGA)

Data for RbP12Au4 after structural relaxation.

Density of states at the Fermi level: 0.381 states/eV/atom
Energy of formation: 0.00 eV/atom
Space-group type: R-3
Spin magnetization: 0.00 μB per formula unit

Geometry as POSCAR:
```
RbP12Au4
1.0
5.958 3.440 2.670
-5.958 3.440 2.670
0.000 -6.880 2.670
Rb P Au
1 12 4
direct
0.000 0.000 0.000
0.112 0.747 0.615
0.132 0.504 0.368
0.253 0.385 0.888
0.368 0.132 0.504
0.385 0.888 0.253
0.496 0.632 0.868
0.504 0.368 0.132
0.615 0.112 0.747
0.632 0.868 0.496
0.747 0.615 0.112
0.868 0.496 0.632
0.888 0.253 0.385
0.000 0.000 0.500
0.000 0.500 0.000
0.500 0.000 0.000
0.500 0.500 0.500
```